No. 1
Computed, not measured: an optimized crystal structure of TePbCl at the PBE-GGA level of DFT.

Calculated values
The uncorrected formation energy is -0.346 eV/atom. The value obtained for the density of states at the Fermi level is 0.64 states/eV/atom. As for the space-group type: No. 156.

a b c (Å): 5.2993 5.2993 3.4389
angles (deg): 90.00 90.00 120.00
Atoms (fractional coordinates):
Te 0.0000 0.0000 0.0000
Pb 0.3333 0.6667 0.5800
Cl 0.6667 0.3333 0.4925

---

No. 2
Computed, not measured: an optimized crystal structure of TePbCl2 at the PBE-GGA level of DFT.

Calculated values
The uncorrected formation energy is -0.325 eV/atom. The value obtained for the density of states at the Fermi level is 0.24 states/eV/atom. As for the space-group type: No. 122.

a b c (Å): 7.0107 7.0107 7.0107
angles (deg): 103.65 103.65 121.86
Atoms (fractional coordinates):
Te 0.0000 0.0000 0.0000
Te 0.7500 0.2500 0.5000
Pb 0.2500 0.7500 0.5000
Pb 0.5000 0.5000 0.0000
Cl 0.1780 0.1250 0.5530
Cl 0.3750 0.8220 0.9470
Cl 0.5720 0.6250 0.4470
Cl 0.8750 0.4280 0.0530

---

Repeat the first record exactly.
Computed, not measured: an optimized crystal structure of TePbCl at the PBE-GGA level of DFT.

Calculated values
The uncorrected formation energy is -0.346 eV/atom. The value obtained for the density of states at the Fermi level is 0.64 states/eV/atom. As for the space-group type: No. 156.

a b c (Å): 5.2993 5.2993 3.4389
angles (deg): 90.00 90.00 120.00
Atoms (fractional coordinates):
Te 0.0000 0.0000 0.0000
Pb 0.3333 0.6667 0.5800
Cl 0.6667 0.3333 0.4925

---

Question: What is the formula in the first record?
Answer: TePbCl